DFT (PBE) results for a relaxed structure of PbS2ICl.

The structure in POSCAR format:
```
PbS2ICl
1.0
5.505 0.000 0.000
0.000 5.505 0.000
0.000 0.000 5.384
Pb S I Cl
1 2 1 1
Direct
0.000 0.000 0.000 Pb
0.000 0.500 0.000 S
0.500 0.000 0.000 S
0.500 0.500 0.500 I
0.000 0.000 0.500 Cl
```

**Space group**: P4/mmm
**E_form (uncorrected)**: 0.38 eV per atom
**Size of the total moment**: 0.6012 μB/atom

DFT (PBE) results for a relaxed structure of In3OsSe.

The structure in POSCAR format:
```
In3OsSe
1.0
5.279 0.000 0.000
0.000 5.279 0.000
0.000 0.000 5.279
In Os Se
3 1 1
Direct
0.000 0.000 0.500 In
0.000 0.500 0.000 In
0.500 0.000 0.000 In
0.500 0.500 0.500 Os
0.000 0.000 0.000 Se
```

**Space group**: Pm-3m
**E_form (uncorrected)**: 1.38 eV per atom
**Size of the total moment**: 0.4298 μB/atom

DFT (PBE) results for a relaxed structure of LiSmMoN3.

The structure in POSCAR format:
```
LiSmMoN3
1.0
1.660 -5.887 0.000
1.660 5.887 0.000
0.000 0.000 7.992
Li Sm Mo N
2 2 2 6
Direct
0.000 0.000 0.000 Li
0.000 0.000 0.500 Li
0.292 0.708 0.750 Sm
0.708 0.292 0.250 Sm
0.446 0.554 0.250 Mo
0.554 0.446 0.750 Mo
0.055 0.945 0.250 N
0.353 0.647 0.070 N
0.353 0.647 0.430 N
0.647 0.353 0.570 N
0.647 0.353 0.930 N
0.945 0.055 0.750 N
```

**Space group**: Cmcm
**E_form (uncorrected)**: -0.71 eV per atom
**Size of the total moment**: 0.0000 μB/atom

DFT (PBE) results for a relaxed structure of Zr2BeBAs.

The structure in POSCAR format:
```
Zr2BeBAs
1.0
4.716 0.000 0.000
0.000 4.716 0.000
0.000 0.000 3.569
Zr Be B As
2 1 1 1
Direct
0.000 0.500 0.000 Zr
0.500 0.000 0.000 Zr
0.000 0.000 0.500 Be
0.000 0.000 0.000 B
0.500 0.500 0.500 As
```

**Space group**: P4/mmm
**Size of the total moment**: 0.0000 μB/atom
**Energy of formation**: -2.23 eV per formula unit